{"formula": "NpNiAgO6", "functional": "PBE with a Hubbard U", "state": "relaxed", "rho_g_cm3": 7.28, "dft_energy_ev_per_atom": -6.7288, "space_group": "No. 163", "magnetic_moment_mub_per_fu": 1.371, "lattice_angstrom": [[5.3042, 0.0000, 0.0000], [-2.6521, 4.5935, 0.0000], [0.0000, 0.0000, 9.3524]], "species": ["Np", "Np", "Ni", "Ni", "Ag", "Ag", "O", "O", "O", "O", "O", "O", "O", "O", "O", "O", "O", "O"], "frac_coords": [[0.3333, 0.6667, 0.2500], [0.6667, 0.3333, 0.7500], [0.3333, 0.6667, 0.7500], [0.6667, 0.3333, 0.2500], [0.0000, 0.0000, 0.0000], [0.0000, 0.0000, 0.5000], [0.0054, 0.3532, 0.1353], [0.0054, 0.6522, 0.3647], [0.3478, 0.3532, 0.3647], [0.3478, 0.9946, 0.1353], [0.3532, 0.0054, 0.6353], [0.3532, 0.3478, 0.8647], [0.6468, 0.6522, 0.1353], [0.6468, 0.9946, 0.3647], [0.6522, 0.0054, 0.8647], [0.6522, 0.6468, 0.6353], [0.9946, 0.3478, 0.6353], [0.9946, 0.6468, 0.8647]]}